Arrangement a

{
  "formula": "Pu2PPd",
  "functional": "PBE-GGA",
  "state": "relaxed",
  "lattice": [[-3.3796, -1.4010, 0.5121], [0.7419, -2.6790, -2.4328], [2.0921, -3.4320, 4.4173]],
  "species": ["P", "Pd", "Pu", "Pu"],
  "frac_coords": [[0.5000, 0.5000, 0.0000], [0.5000, 0.5000, 0.5000], [0.0000, 0.0000, 0.7657], [0.0000, 0.0000, 0.2343]],
  "space_group": "P4/mmm"
}

=====

Arrangement b

{
  "formula": "Pu2PPd",
  "functional": "PBE-GGA",
  "state": "relaxed",
  "lattice": [[5.2004, 0.0000, 0.0001], [0.0000, 5.9875, 0.0004], [0.0001, 0.0101, 9.9710]],
  "species": ["Pu", "Pu", "Pu", "Pu", "Pu", "Pu", "Pu", "Pu", "P", "P", "P", "P", "Pd", "Pd", "Pd", "Pd"],
  "frac_coords": [[0.8587, 0.8993, 0.9316], [0.1413, 0.1007, 0.0684], [0.3587, 0.6007, 0.5684], [0.6413, 0.3993, 0.4316], [0.8587, 0.3991, 0.0683], [0.1413, 0.6009, 0.9317], [0.3587, 0.1010, 0.4317], [0.6413, 0.8990, 0.5683], [0.0000, 0.2498, 0.5968], [0.0000, 0.7502, 0.4032], [0.5000, 0.2502, 0.9032], [0.5000, 0.7498, 0.0968], [0.2496, 0.5510, 0.2500], [0.7504, 0.4490, 0.7500], [0.7496, 0.9490, 0.2500], [0.2504, 0.0510, 0.7500]],
  "space_group": "P2_1/c"
}

=====

arrangement a has the most favorable energy; the next structure is 44.4 kJ/mol of atoms above.

=====

Arrangement a

{
  "formula": "PuP4Pd6",
  "functional": "PBE-GGA",
  "state": "relaxed",
  "lattice": [[6.3386, -0.0013, -0.0019], [-2.9318, 5.6198, 0.0019], [-2.9318, -2.0644, 5.2269]],
  "species": ["Pu", "P", "P", "P", "P", "Pd", "Pd", "Pd", "Pd", "Pd", "Pd"],
  "frac_coords": [[0.0000, 0.0000, 0.0000], [0.0000, 0.1500, 0.5902], [0.5598, 0.4098, 0.4098], [0.0000, 0.5902, 0.1500], [0.4402, 0.8500, 0.8500], [0.0000, 0.7899, 0.4920], [0.0000, 0.4920, 0.7899], [0.7021, 0.2101, 0.2101], [0.5000, 0.0000, 0.5000], [0.2979, 0.5080, 0.5080], [0.5000, 0.5000, 0.0000]],
  "space_group": "I-42m"
}

=====

Arrangement b

{
  "formula": "PuP4Pd6",
  "functional": "PBE-GGA",
  "state": "relaxed",
  "lattice": [[3.8309, 0.0000, 0.0000], [0.0000, 6.2575, -3.6128], [0.0000, 0.0000, 7.2255]],
  "species": ["Pu", "P", "P", "P", "P", "Pd", "Pd", "Pd", "Pd", "Pd", "Pd"],
  "frac_coords": [[0.0000, 0.0000, 0.0000], [0.5000, 0.8185, 0.6370], [0.5000, 0.3630, 0.1815], [0.5000, 0.8185, 0.1815], [0.0000, 0.3333, 0.6667], [0.0000, 0.5363, 0.0726], [0.5000, 0.6005, 0.8002], [0.0000, 0.5363, 0.4637], [0.0000, 0.9274, 0.4637], [0.5000, 0.1998, 0.8002], [0.5000, 0.1998, 0.3995]],
  "space_group": "P-6m2"
}

=====

arrangement b has the most favorable energy; the next structure is 1.8 kJ/mol of atoms above.

=====

Arrangement a

{
  "formula": "RbP2Pd",
  "functional": "PBE-GGA",
  "state": "relaxed",
  "lattice": [[4.2578, 0.0000, 0.0000], [2.1289, 3.6874, 0.0000], [2.1289, 1.2291, 7.3594]],
  "species": ["P", "P", "Rb", "Pd"],
  "frac_coords": [[0.1455, 0.1455, 0.5634], [0.8545, 0.8545, 0.4366], [0.0000, 0.0000, 0.0000], [0.5000, 0.5000, 0.5000]],
  "space_group": "R-3m"
}

=====

Arrangement b

{
  "formula": "RbP2Pd",
  "functional": "PBE-GGA",
  "state": "relaxed",
  "lattice": [[0.0000, 3.4184, 3.4184], [3.4184, 0.0000, 3.4184], [3.4184, 3.4184, 0.0000]],
  "species": ["P", "P", "Rb", "Pd"],
  "frac_coords": [[0.2500, 0.2500, 0.2500], [0.7500, 0.7500, 0.7500], [0.0000, 0.0000, 0.0000], [0.5000, 0.5000, 0.5000]],
  "space_group": "Fm-3m"
}

=====

arrangement a has the most favorable energy; the next structure is 65.5 kJ/mol of atoms above.

=====

Arrangement a

{
  "formula": "Rb2PPd2",
  "functional": "PBE-GGA",
  "state": "relaxed",
  "lattice": [[-3.5342, 3.8268, 3.8558], [-1.2220, -7.8253, 1.1997], [5.6814, 1.9913, 3.2312]],
  "species": ["Rb", "Rb", "Rb", "Rb", "P", "P", "Pd", "Pd", "Pd", "Pd"],
  "frac_coords": [[0.7993, 0.7077, 0.0168], [0.0916, 0.2923, 0.4832], [0.2007, 0.2923, 0.9832], [0.9084, 0.7077, 0.5168], [0.6207, 0.0000, 0.7500], [0.3793, 0.0000, 0.2500], [0.5724, 0.2026, 0.5951], [0.3698, 0.7974, 0.9049], [0.4276, 0.7974, 0.4049], [0.6302, 0.2026, 0.0951]],
  "space_group": "C2/c"
}

=====

Arrangement b

{
  "formula": "Rb2PPd2",
  "functional": "PBE-GGA",
  "state": "relaxed",
  "lattice": [[4.3165, 0.0000, 0.0000], [0.0000, 4.3165, 0.0000], [-2.1582, -2.1582, 20.0872]],
  "species": ["Rb", "Rb", "Rb", "Rb", "P", "P", "Pd", "Pd", "Pd", "Pd"],
  "frac_coords": [[0.8166, 0.8166, 0.6332], [0.5666, 0.0666, 0.1332], [0.9334, 0.4334, 0.8668], [0.1834, 0.1834, 0.3668], [0.5000, 0.5000, 0.0000], [0.2500, 0.7500, 0.5000], [0.4790, 0.9790, 0.9580], [0.7290, 0.7290, 0.4580], [0.2710, 0.2710, 0.5420], [0.0210, 0.5210, 0.0420]],
  "space_group": "I4_1/amd"
}

=====

Arrangement c

{
  "formula": "Rb2PPd2",
  "functional": "PBE-GGA",
  "state": "relaxed",
  "lattice": [[-2.5836, -1.7728, 5.7056], [2.4137, -5.9960, -0.7701], [4.8062, 1.5917, 2.6708]],
  "species": ["P", "P", "Rb", "Rb", "Rb", "Rb", "Pd", "Pd", "Pd", "Pd"],
  "frac_coords": [[0.0000, 0.0000, 0.0000], [0.5000, 0.5000, 0.0000], [0.1776, 0.6776, 0.5000], [0.6776, 0.8224, 0.5000], [0.8224, 0.3224, 0.5000], [0.3224, 0.1776, 0.5000], [0.3343, 0.8343, 0.0000], [0.8343, 0.6657, 0.0000], [0.6657, 0.1657, 0.0000], [0.1657, 0.3343, 0.0000]],
  "space_group": "P4/mbm"
}

=====

arrangement a has the most favorable energy; the next structure is 1.4 kJ/mol of atoms above.

=====

Arrangement a

{
  "formula": "Rb3PPd",
  "functional": "PBE-GGA",
  "state": "relaxed",
  "lattice": [[8.5409, 0.0000, 0.0000], [0.0000, 8.5409, 0.0000], [0.0000, 0.0000, 8.5409]],
  "species": ["Rb", "Rb", "Rb", "Rb", "Rb", "Rb", "Rb", "Rb", "Rb", "Rb", "Rb", "Rb", "P", "P", "P", "P", "Pd", "Pd", "Pd", "Pd"],
  "frac_coords": [[0.1377, 0.1917, 0.4520], [0.3623, 0.8083, 0.9520], [0.8623, 0.6917, 0.0480], [0.4520, 0.1377, 0.1917], [0.6377, 0.3083, 0.5480], [0.9520, 0.3623, 0.8083], [0.0480, 0.8623, 0.6917], [0.5480, 0.6377, 0.3083], [0.1917, 0.4520, 0.1377], [0.6917, 0.0480, 0.8623], [0.3083, 0.5480, 0.6377], [0.8083, 0.9520, 0.3623], [0.0693, 0.0693, 0.0693], [0.4307, 0.9307, 0.5693], [0.9307, 0.5693, 0.4307], [0.5693, 0.4307, 0.9307], [0.6745, 0.6745, 0.6745], [0.8255, 0.3255, 0.1745], [0.3255, 0.1745, 0.8255], [0.1745, 0.8255, 0.3255]],
  "space_group": "P2_13"
}

=====

Arrangement b

{
  "formula": "Rb3PPd",
  "functional": "PBE-GGA",
  "state": "relaxed",
  "lattice": [[6.4472, 0.0000, 0.0000], [0.0000, 6.4472, 0.0000], [0.0000, 0.0000, 6.4472]],
  "species": ["P", "Rb", "Rb", "Rb", "Pd"],
  "frac_coords": [[0.0000, 0.0000, 0.0000], [0.0000, 0.5000, 0.0000], [0.0000, 0.0000, 0.5000], [0.5000, 0.0000, 0.0000], [0.5000, 0.5000, 0.5000]],
  "space_group": "Pm-3m"
}

=====

arrangement a has the most favorable energy; the next structure is 21.4 kJ/mol of atoms above.

=====

Arrangement a

{
  "formula": "ReP3Pd",
  "functional": "PBE-GGA",
  "state": "relaxed",
  "lattice": [[-0.4271, 1.7123, 4.2091], [-0.3784, -4.2264, 1.6809], [4.5283, -0.1916, 0.5374]],
  "species": ["Re", "Pd", "P", "P", "P"],
  "frac_coords": [[0.5000, 0.5000, 0.5000], [0.0000, 0.0000, 0.0000], [0.0000, 0.5000, 0.0000], [0.0000, 0.0000, 0.5000], [0.5000, 0.0000, 0.0000]],
  "space_group": "Pm-3m"
}

=====

Arrangement b

{
  "formula": "ReP3Pd",
  "functional": "PBE-GGA",
  "state": "relaxed",
  "lattice": [[-3.2499, -3.2303, 0.4781], [2.0790, -2.5669, -3.2115], [2.5181, -2.0497, 3.2684]],
  "species": ["Re", "Pd", "P", "P", "P"],
  "frac_coords": [[0.0000, 0.0000, 0.0000], [0.5000, 0.5000, 0.5000], [0.0000, 0.5000, 0.0000], [0.0000, 0.0000, 0.5000], [0.5000, 0.0000, 0.0000]],
  "space_group": "Pm-3m"
}

=====

arrangement b has the most favorable energy; the next structure is 73.3 kJ/mol of atoms above.

=====

Arrangement a

{
  "formula": "Re3PPd",
  "functional": "PBE-GGA",
  "state": "relaxed",
  "lattice": [[-0.5745, 2.4357, 3.9772], [2.7979, -3.0261, 2.2574], [3.7313, 2.6441, -1.0803]],
  "species": ["Re", "Re", "Re", "Pd", "P"],
  "frac_coords": [[0.0000, 0.5000, 0.0000], [0.0000, 0.0000, 0.5000], [0.5000, 0.0000, 0.0000], [0.0000, 0.0000, 0.0000], [0.5000, 0.5000, 0.5000]],
  "space_group": "Pm-3m"
}

=====

Arrangement b

{
  "formula": "Re3PPd",
  "functional": "PBE-GGA",
  "state": "relaxed",
  "lattice": [[-3.2820, -1.7190, -2.2867], [-1.4304, -2.0277, 3.5774], [-2.4775, 3.4480, 0.9638]],
  "species": ["Re", "Re", "Re", "Pd", "P"],
  "frac_coords": [[0.0000, 0.5000, 0.0000], [0.0000, 0.0000, 0.5000], [0.5000, 0.0000, 0.0000], [0.5000, 0.5000, 0.5000], [0.0000, 0.0000, 0.0000]],
  "space_group": "Pm-3m"
}

=====

arrangement b has the most favorable energy; the next structure is 188.0 kJ/mol of atoms above.

=====

Arrangement a

{
  "formula": "RePPdS2",
  "functional": "PBE-GGA",
  "state": "relaxed",
  "lattice": [[-2.9627, -2.7061, -2.3334], [3.2509, -3.2994, -0.3011], [-1.4732, -1.8142, 3.9745]],
  "species": ["Re", "S", "S", "Pd", "P"],
  "frac_coords": [[0.5000, 0.5000, 0.5000], [0.0000, 0.5000, 0.0000], [0.5000, 0.0000, 0.0000], [0.0000, 0.0000, 0.0000], [0.0000, 0.0000, 0.5000]],
  "space_group": "P4/mmm"
}

=====

Arrangement b

{
  "formula": "RePPdS2",
  "functional": "PBE-GGA",
  "state": "relaxed",
  "lattice": [[4.5720, 0.0000, 0.0000], [0.0000, 4.5720, 0.0000], [0.0000, 0.0000, 4.7213]],
  "species": ["Re", "S", "S", "Pd", "P"],
  "frac_coords": [[0.0000, 0.0000, 0.0000], [0.0000, 0.5000, 0.0000], [0.5000, 0.0000, 0.0000], [0.5000, 0.5000, 0.5000], [0.0000, 0.0000, 0.5000]],
  "space_group": "P4/mmm"
}

=====

arrangement b has the most favorable energy; the next structure is 71.8 kJ/mol of atoms above.